# 1
Compound: BaThN2
Source: the Alexandria database
Functional: GGA-PBE
Structure: optimized geometry

Unit cell a=3.7742 b=3.7742 c=12.9149 alpha=90.00 beta=90.00 gamma=120.00
Closest atoms and distances in Å follow each position.
Element x y z (fractional)
Ba: 0.3333 0.6667 0.2500  6 N 2.94
Ba: 0.6667 0.3333 0.7500  6 N 2.94
Th: 0.0000 0.0000 0.0000  6 N 2.51
Th: 0.0000 0.0000 0.5000  6 N 2.51
N: 0.3333 0.6667 0.5972  3 Th 2.51
N: 0.3333 0.6667 0.9028  3 Th 2.51
N: 0.6667 0.3333 0.0972  3 Th 2.51
N: 0.6667 0.3333 0.4028  3 Th 2.51

## Properties
electronic total energy	-61.47	eV for the cell shown
space group	P6_3/mmc
energy relative to the elements, uncorrected	-1.19	eV/atom
crystal system	hexagonal



# 2
Compound: TiRu3Pb
Source: the Alexandria database
Functional: GGA-PBE
Structure: optimized geometry

Unit cell a=4.8530 b=4.8530 c=4.8530 alpha=90.00 beta=90.00 gamma=90.00
Closest atoms and distances in Å follow each position.
Element x y z (fractional)
Ti: 0.0000 0.0000 0.0000  12 Ru 3.43
Ru: 0.0000 0.5000 0.5000  2 Pb 2.43
Ru: 0.5000 0.0000 0.5000  2 Pb 2.43
Ru: 0.5000 0.5000 0.0000  2 Pb 2.43
Pb: 0.5000 0.5000 0.5000  6 Ru 2.43

## Properties
electronic total energy	-29.29	eV for the cell shown
formation enthalpy at 0 K	2.0284	eV per atom
excess energy over the best structure of this formula in the dataset	24.34	kcal/mol of atoms
space group	Pm-3m
crystal system	cubic



The records above yield magnetization values of 0.00; 0.00 μB per atom, respectively.